Entry 1:
An optimized crystal structure of CoPtCl2, computed with PBE.

Values from the calculation:
Energy above the most stable polymorph in this dataset (meV per atom): 37
Calculated total energy (eV per atom): -4.265
Formation energy without anion corrections (eV/atom): -0.0548
Total magnetic moment (μB/f.u.): 2.55

Cell: 6.5661 6.5661 4.5580 Å, 96.34 96.34 27.54°
With the nearest neighbours (Å) after each atom.
Atoms (fractional coordinates):
Co1 0.0000 0.0000 0.0000  4 Cl 2.41
Pt1 0.5000 0.5000 0.5000  2 Cl 2.31
Cl1 0.3669 0.3669 0.8025  1 Pt 2.31, 2 Co 2.41
Cl2 0.6331 0.6331 0.1975  1 Pt 2.31, 2 Co 2.41

Entry 2:
An optimized crystal structure of ZnCuIO2, computed with PBE.

Values from the calculation:
Energy above the most stable polymorph in this dataset (meV per atom): 72
Calculated total energy (eV per atom): -3.237
Formation energy without anion corrections (eV/atom): 0.1301
Total magnetic moment (μB/f.u.): 1.32

Cell: 3.7997 3.7997 6.2986 Å, 90.00 90.00 90.00°
With the nearest neighbours (Å) after each atom.
Atoms (fractional coordinates):
Zn1 0.0000 0.0000 0.0000  4 I 2.69
Cu1 0.5000 0.5000 0.5000  4 O 1.90
I1 0.5000 0.5000 0.0000  4 Zn 2.69
O1 0.0000 0.5000 0.5000  2 Cu 1.90
O2 0.5000 0.0000 0.5000  2 Cu 1.90

Entry 3:
An optimized crystal structure of NdCdPd, computed with PBE.

Values from the calculation:
Calculated total energy (eV per atom): -4.163
E_form (eV per atom): -0.54
Total magnetic moment (μB/f.u.): 0.00

Cell: 4.7481 4.7481 3.6758 Å, 90.00 90.00 120.00°
With the nearest neighbours (Å) after each atom.
Atoms (fractional coordinates):
Nd1 0.0000 0.0000 0.0000  6 Pd 3.30, 6 Cd 3.30, 2 Nd 3.68
Cd1 0.3333 0.6667 0.5000  3 Pd 2.74
Pd1 0.6667 0.3333 0.5000  3 Cd 2.74

Entry 4:
An optimized crystal structure of Cs2RbCdAu, computed with PBE.

Values from the calculation:
Energy above the most stable polymorph in this dataset (meV per atom): 48
Calculated total energy (eV per atom): -1.426
E_form (eV per atom): -0.05
Total magnetic moment (μB/f.u.): 0.51

Cell: 6.9354 6.9354 6.7200 Å, 90.00 90.00 90.00°
With the nearest neighbours (Å) after each atom.
Atoms (fractional coordinates):
Cs1 0.0000 0.5000 0.0000  2 Au 3.47
Cs2 0.5000 0.0000 0.0000  2 Au 3.47
Rb1 0.0000 0.0000 0.5000  2 Au 3.36
Cd1 0.5000 0.5000 0.5000  8 Cs 4.83, 4 Rb 4.90
Au1 0.0000 0.0000 0.0000  2 Rb 3.36, 4 Cs 3.47

Entry 5:
An optimized crystal structure of Sm3TmTl4Se8, computed with PBE.

Values from the calculation:
Calculated total energy (eV per atom): -4.878
Formation energy without anion corrections (eV/atom): -1.3795
Total magnetic moment (μB/f.u.): 0.00

Cell: 9.1814 9.1814 9.1814 Å, 55.00 55.00 55.00°
With the nearest neighbours (Å) after each atom.
Atoms (fractional coordinates):
Sm1 0.0000 0.5000 0.5000  6 Se 2.94-2.95
Sm2 0.5000 0.0000 0.5000  6 Se 2.94-2.95
Sm3 0.5000 0.5000 0.0000  6 Se 2.94-2.95
Tm1 0.0000 0.0000 0.0000  6 Se 2.88
Tl1 0.0000 0.0000 0.5000  6 Se 3.33
Tl2 0.0000 0.5000 0.0000  6 Se 3.33
Tl3 0.5000 0.0000 0.0000  6 Se 3.33
Tl4 0.5000 0.5000 0.5000  6 Se 3.39
Se1 0.2314 0.2314 0.7429  1 Tm 2.88, 2 Sm 2.95
Se2 0.2314 0.7429 0.2314  1 Tm 2.88, 2 Sm 2.95
Se3 0.2571 0.7686 0.7686  1 Tm 2.88, 2 Sm 2.95
Se4 0.2635 0.2635 0.2635  3 Sm 2.94
Se5 0.7365 0.7365 0.7365  3 Sm 2.94
Se6 0.7429 0.2314 0.2314  1 Tm 2.88, 2 Sm 2.95
Se7 0.7686 0.2571 0.7686  1 Tm 2.88, 2 Sm 2.95
Se8 0.7686 0.7686 0.2571  1 Tm 2.88, 2 Sm 2.95

Entry 6:
An optimized crystal structure of NpCdPd, computed with PBE.

Values from the calculation:
Calculated total energy (eV per atom): -6.412
E_form (eV per atom): -0.06
Total magnetic moment (μB/f.u.): 4.55

Cell: 4.9685 4.9685 2.9146 Å, 90.00 90.00 120.00°
With the nearest neighbours (Å) after each atom.
Atoms (fractional coordinates):
Np1 0.0000 0.0000 0.0000  2 Np 2.91, 6 Pd 3.21-3.22, 6 Cd 3.22
Cd1 0.3333 0.6667 0.5004  3 Pd 2.87, 2 Cd 2.91
Pd1 0.6667 0.3333 0.4971  3 Cd 2.87, 2 Pd 2.91

> Look up the total magnetic moment of the first one.

2.55 μB/f.u.